Compound: Al2IrSe
Source: the Alexandria database
Functional: PBE-GGA
Structure: relaxed

```
4
Lattice="4.516 0.000 0.000 2.258 3.911 0.000 2.258 1.304 3.688" Properties=species:S:1:pos:R:3 pbc="T T T"
Ir 4.516 2.608 1.844
Al 0.000 0.000 0.000
Al 6.775 3.911 2.766
Se 2.258 1.304 0.922
```

Calculated values
- energy relative to the elements, uncorrected (eV/atom) = 0.069
- SG = F-43m
- N(E_F) (states/eV per atom) = 0.28
- V (Å³/cell) = 65.1